[1]
# PaSi3Ni9 GGA-PBE optimized geometry
# uncorrected energy	-6.486	eV/atom
data_PaSi3Ni9
_chemical_formula_sum 'Pa2 Si6 Ni18'
_space_group_name_H-M_alt 'C 1 2/m 1'
_space_group_IT_number 12
_cell_length_a 4.814
_cell_length_b 11.622
_cell_length_c 6.060
_cell_angle_alpha 90.00
_cell_angle_beta 110.85
_cell_angle_gamma 90.00
loop_
_space_group_symop_operation_xyz
'x,y,z'
'-x,-y,-z'
'-x,y,-z'
'x,-y,z'
'x+1/2,y+1/2,z'
'-x+1/2,-y+1/2,-z'
'-x+1/2,y+1/2,-z'
'x+1/2,-y+1/2,z'
loop_
_atom_site_label
_atom_site_type_symbol
_atom_site_fract_x
_atom_site_fract_y
_atom_site_fract_z
Pa1 Pa 0.000 0.000 0.000
Si1 Si 0.000 0.500 0.500
Si2 Si 0.250 0.250 0.000
Ni1 Ni 0.000 0.000 0.500
Ni2 Ni 0.100 0.388 0.221
Ni3 Ni 0.154 0.176 0.339


[2]
# Pa3Si4Ni2 GGA-PBE optimized geometry
# uncorrected energy	-7.572	eV/atom
# ΔE to the lowest computed polymorph	0.000	eV/f.u.
data_Pa3Si4Ni2
_chemical_formula_sum 'Pa6 Si8 Ni4'
_space_group_name_H-M_alt 'C 1 2/m 1'
_space_group_IT_number 12
_cell_length_a 10.471
_cell_length_b 4.003
_cell_length_c 7.916
_cell_angle_alpha 90.00
_cell_angle_beta 101.09
_cell_angle_gamma 90.00
loop_
_space_group_symop_operation_xyz
'x,y,z'
'-x,-y,-z'
'-x,y,-z'
'x,-y,z'
'x+1/2,y+1/2,z'
'-x+1/2,-y+1/2,-z'
'-x+1/2,y+1/2,-z'
'x+1/2,-y+1/2,z'
loop_
_atom_site_label
_atom_site_type_symbol
_atom_site_fract_x
_atom_site_fract_y
_atom_site_fract_z
Pa1 Pa 0.000 0.000 0.000
Pa2 Pa 0.165 0.500 0.668
Si1 Si 0.060 0.000 0.388
Si2 Si 0.218 0.500 0.061
Ni1 Ni 0.114 0.500 0.287


[3]
# Pa3Si4Ni2 GGA-PBE optimized geometry
# uncorrected energy	-7.225	eV/atom
# ΔE to the lowest computed polymorph	3.123	eV/f.u.
data_Pa3Si4Ni2
_chemical_formula_sum 'Pa6 Si8 Ni4'
_space_group_name_H-M_alt 'I m m m'
_space_group_IT_number 71
_space_group_name_Hall '-I 2 2'
_cell_length_a 3.836
_cell_length_b 6.870
_cell_length_c 13.285
_cell_angle_alpha 90.00
_cell_angle_beta 90.00
_cell_angle_gamma 90.00
loop_
_atom_site_label
_atom_site_type_symbol
_atom_site_fract_x
_atom_site_fract_y
_atom_site_fract_z
Pa1 Pa 0.000 0.000 0.000
Pa2 Pa 0.000 0.500 0.150
Si1 Si 0.000 0.328 0.349
Ni1 Ni 0.000 0.173 0.500


[4]
# PaSi2Ni10 GGA-PBE optimized geometry
# uncorrected energy	-6.392	eV/atom
data_PaSi2Ni10
_chemical_formula_sum 'Pa4 Si8 Ni40'
_space_group_name_H-M_alt 'F m m m'
_space_group_IT_number 69
_space_group_name_Hall '-F 2 2'
_cell_length_a 4.843
_cell_length_b 11.242
_cell_length_c 11.600
_cell_angle_alpha 90.00
_cell_angle_beta 90.00
_cell_angle_gamma 90.00
loop_
_atom_site_label
_atom_site_type_symbol
_atom_site_fract_x
_atom_site_fract_y
_atom_site_fract_z
Pa1 Pa 0.000 0.000 0.000
Si1 Si 0.250 0.000 0.250
Ni1 Ni 0.000 0.110 0.386
Ni2 Ni 0.000 0.170 0.175
Ni3 Ni 0.250 0.250 0.000


[5]
# PaSiNi GGA-PBE optimized geometry
# uncorrected energy	-7.614	eV/atom
data_PaSiNi
_chemical_formula_sum 'Pa1 Si1 Ni1'
_space_group_name_H-M_alt 'P 3 m 1'
_space_group_IT_number 156
_cell_length_a 4.0375
_cell_length_b 4.0375
_cell_length_c 3.7592
_cell_angle_alpha 90.00
_cell_angle_beta 90.00
_cell_angle_gamma 120.00
loop_
_space_group_symop_operation_xyz
'x,y,z'
'-y,x-y,z'
'-x+y,-x,z'
'-y,-x,z'
'-x+y,y,z'
'x,x-y,z'
loop_
_atom_site_label
_atom_site_type_symbol
_atom_site_fract_x
_atom_site_fract_y
_atom_site_fract_z
Pa1 Pa 0.0000 0.0000 0.0000
Si1 Si 0.6667 0.3333 0.5005
Ni1 Ni 0.3333 0.6667 0.4983


[6]
# Pa2Si3Ni GGA-PBE optimized geometry
# uncorrected energy	-7.505	eV/atom
# ΔE to the lowest computed polymorph	0.015	eV/f.u.
data_Pa2Si3Ni
_chemical_formula_sum 'Pa2 Si3 Ni1'
_space_group_name_H-M_alt 'P m m 2'
_space_group_IT_number 25
_cell_length_a 3.968
_cell_length_b 4.017
_cell_length_c 6.863
_cell_angle_alpha 90.00
_cell_angle_beta 90.00
_cell_angle_gamma 90.00
loop_
_space_group_symop_operation_xyz
'x,y,z'
'-x,-y,z'
'-x,y,z'
'x,-y,z'
loop_
_atom_site_label
_atom_site_type_symbol
_atom_site_fract_x
_atom_site_fract_y
_atom_site_fract_z
Pa1 Pa 0.000 0.000 0.000
Pa2 Pa 0.000 0.500 0.498
Si1 Si 0.500 0.000 0.330
Si2 Si 0.500 0.000 0.672
Si3 Si 0.500 0.500 0.155
Ni1 Ni 0.500 0.500 0.827


[7]
# Pa2Si4Ni3 GGA-PBE optimized geometry
# uncorrected energy	-7.066	eV/atom
data_Pa2Si4Ni3
_chemical_formula_sum 'Pa8 Si16 Ni12'
_space_group_name_H-M_alt 'C m c e'
_space_group_IT_number 64
_space_group_name_Hall '-C 2ac 2'
_cell_length_a 5.506
_cell_length_b 13.973
_cell_length_c 7.195
_cell_angle_alpha 90.00
_cell_angle_beta 90.00
_cell_angle_gamma 90.00
loop_
_atom_site_label
_atom_site_type_symbol
_atom_site_fract_x
_atom_site_fract_y
_atom_site_fract_z
Pa1 Pa 0.000 0.110 0.094
Si1 Si 0.000 0.179 0.485
Si2 Si 0.250 0.059 0.750
Ni1 Ni 0.000 0.000 0.500
Ni2 Ni 0.250 0.226 0.750


[8]
# Pa3Si6Ni20 GGA-PBE optimized geometry
# uncorrected energy	-6.591	eV/atom
data_Pa3Si6Ni20
_chemical_formula_sum 'Pa12 Si24 Ni80'
_space_group_name_H-M_alt 'F m -3 m'
_space_group_IT_number 225
_space_group_name_Hall '-F 4 2 3'
_cell_length_a 11.446
_cell_length_b 11.446
_cell_length_c 11.446
_cell_angle_alpha 90.00
_cell_angle_beta 90.00
_cell_angle_gamma 90.00
loop_
_atom_site_label
_atom_site_type_symbol
_atom_site_fract_x
_atom_site_fract_y
_atom_site_fract_z
Pa1 Pa 0.000 0.000 0.000
Pa2 Pa 0.250 0.250 0.250
Si1 Si 0.000 0.000 0.267
Ni1 Ni 0.000 0.176 0.176
Ni2 Ni 0.117 0.117 0.383


[9]
# PaSi2Ni4 GGA-PBE optimized geometry
# uncorrected energy	-6.799	eV/atom
# ΔE to the lowest computed polymorph	0.000	eV/f.u.
data_PaSi2Ni4
_chemical_formula_sum 'Pa2 Si4 Ni8'
_space_group_name_H-M_alt 'P 42/m n m'
_space_group_IT_number 136
_space_group_name_Hall '-P 4n 2n'
_cell_length_a 7.171
_cell_length_b 7.171
_cell_length_c 3.720
_cell_angle_alpha 90.00
_cell_angle_beta 90.00
_cell_angle_gamma 90.00
loop_
_atom_site_label
_atom_site_type_symbol
_atom_site_fract_x
_atom_site_fract_y
_atom_site_fract_z
Pa1 Pa 0.000 0.000 0.000
Si1 Si 0.218 0.218 0.500
Ni1 Ni 0.090 0.657 0.500


[10]
# Pa2SiNi3 GGA-PBE optimized geometry
# uncorrected energy	-7.514	eV/atom
data_Pa2SiNi3
_chemical_formula_sum 'Pa16 Si8 Ni24'
_space_group_name_H-M_alt 'F m m m'
_space_group_IT_number 69
_space_group_name_Hall '-F 2 2'
_cell_length_a 6.515
_cell_length_b 8.449
_cell_length_c 14.573
_cell_angle_alpha 90.00
_cell_angle_beta 90.00
_cell_angle_gamma 90.00
loop_
_atom_site_label
_atom_site_type_symbol
_atom_site_fract_x
_atom_site_fract_y
_atom_site_fract_z
Pa1 Pa 0.224 0.000 0.000
Pa2 Pa 0.250 0.250 0.250
Si1 Si 0.000 0.000 0.337
Ni1 Ni 0.000 0.000 0.174
Ni2 Ni 0.000 0.240 0.414


[11]
# PaSiNi2 GGA-PBE optimized geometry
# uncorrected energy	-7.243	eV/atom
data_PaSiNi2
_chemical_formula_sum 'Pa2 Si2 Ni4'
_space_group_name_H-M_alt 'P 63/m m c'
_space_group_IT_number 194
_space_group_name_Hall '-P 6c 2c'
_cell_length_a 4.0756
_cell_length_b 4.0756
_cell_length_c 8.6822
_cell_angle_alpha 90.00
_cell_angle_beta 90.00
_cell_angle_gamma 120.00
loop_
_atom_site_label
_atom_site_type_symbol
_atom_site_fract_x
_atom_site_fract_y
_atom_site_fract_z
Pa1 Pa 0.3333 0.6667 0.2500
Si1 Si 0.0000 0.0000 0.0000
Ni1 Ni 0.3333 0.6667 0.5741


[12]
# PaSi2Ni5 GGA-PBE optimized geometry
# uncorrected energy	-6.701	eV/atom
data_PaSi2Ni5
_chemical_formula_sum 'Pa2 Si4 Ni10'
_space_group_name_H-M_alt 'I m m m'
_space_group_IT_number 71
_space_group_name_Hall '-I 2 2'
_cell_length_a 3.650
_cell_length_b 6.473
_cell_length_c 9.129
_cell_angle_alpha 90.00
_cell_angle_beta 90.00
_cell_angle_gamma 90.00
loop_
_atom_site_label
_atom_site_type_symbol
_atom_site_fract_x
_atom_site_fract_y
_atom_site_fract_z
Pa1 Pa 0.000 0.000 0.000
Si1 Si 0.000 0.500 0.243
Ni1 Ni 0.000 0.192 0.357
Ni2 Ni 0.000 0.500 0.000


Ordered theoretical density results: 8.84, 9.41, 8.75, 9.19, 9.94, 9.18, 9.00, 9.02, 9.06, 11.03, 10.01, 8.94; unit g/cm³.
Ordered uncorrected formation energy results: -6.5, -6.4, -3.3, -4.9, -2.1, -4.0, -5.6, -14.5, -4.1, -3.3, -2.5, -4.4; unit eV per formula unit.